A plane-wave DFT calculation with PBE-GGA was carried out for a relaxed structure of RbPrTe3As.

Values from the calculation:
Calculated volume in A^3/atom: 38.1
Raw total energy in eV/cell: -97.2

Cell and atoms, written as CIF:
```
data_RbPrTe3As
_cell_length_a 4.685
_cell_length_b 17.793
_cell_length_c 10.978
_cell_angle_alpha 90.00
_cell_angle_beta 90.00
_cell_angle_gamma 90.00
_symmetry_space_group_name_H-M 'C m c m'
_symmetry_Int_Tables_number 63
_symmetry_space_group_name_Hall '-C 2c 2'
loop_
_atom_site_label
_atom_site_type_symbol
_atom_site_fract_x
_atom_site_fract_y
_atom_site_fract_z
Rb1 Rb 0.000 0.238 0.250
Pr1 Pr 0.000 0.000 0.000
Te1 Te 0.000 0.099 0.750
Te2 Te 0.000 0.377 0.550
As1 As 0.000 0.466 0.750
```